No. 1
Material: VCu
Method: DFT, PBE-GGA
State: optimized geometry

Structure (POSCAR):
```
VCu
1.0
-8.0643 2.2848 -1.0915
-2.4737 -6.3295 5.0262
0.2012 1.9008 2.4927
Cu V
8 8
Direct
0.8403 0.1597 0.0000 Cu
0.1597 0.1597 0.0000 Cu
0.3403 0.6597 0.5000 Cu
0.8403 0.8403 0.0000 Cu
0.3403 0.3403 0.5000 Cu
0.1597 0.8403 0.0000 Cu
0.6597 0.3403 0.5000 Cu
0.6597 0.6597 0.5000 Cu
0.6590 0.0000 0.5000 V
0.0000 0.3410 0.5000 V
0.1590 0.5000 0.0000 V
0.0000 0.6590 0.5000 V
0.8410 0.5000 0.0000 V
0.5000 0.1590 0.0000 V
0.5000 0.8410 0.0000 V
0.3410 0.0000 0.5000 V
```

The total magnetization is 0.000 μB per formula unit. The space group is I4/mmm, No. 139. As for the formation energy: 0.3010 eV per atom.



No. 2
Material: V4Cu
Method: DFT, PBE-GGA
State: optimized geometry

Structure (POSCAR):
```
V4Cu
1.0
-4.2206 -0.8384 0.8739
-0.2983 -2.3512 -3.6963
1.1737 -3.6123 2.2031
V Cu
4 1
Direct
0.5000 0.0000 0.5000 V
0.0000 0.0000 0.0000 V
0.0000 0.5000 0.5000 V
0.5000 0.5000 0.0000 V
0.5000 0.5000 0.5000 Cu
```

The total magnetization is 0.416 μB per formula unit. The space group is Pm-3m, No. 221. As for the formation energy: 1.3302 eV per atom.



No. 3
Material: VCuW2
Method: DFT, PBE-GGA
State: optimized geometry

Structure (POSCAR):
```
VCuW2
1.0
6.8969 0.0000 0.0000
0.0000 6.8969 0.0000
3.4484 3.4484 2.6282
V W Cu
2 4 2
Direct
0.2500 0.7500 0.5000 V
0.5000 0.5000 0.0000 V
0.8750 0.8788 0.7500 W
0.3750 0.3712 0.7500 W
0.1212 0.6250 0.2500 W
0.6288 0.1250 0.2500 W
0.7500 0.2500 0.5000 Cu
0.0000 0.0000 0.0000 Cu
```

The total magnetization is 0.000 μB per formula unit. The space group is I-42d, No. 122. The calculation puts the excess energy over the best structure of this formula in the dataset at 510 meV per atom. As for the formation energy: 0.8785 eV per atom.



No. 4
Material: VCuW2
Method: DFT, PBE-GGA
State: optimized geometry

Structure (POSCAR):
```
VCuW2
1.0
0.0000 3.0714 3.0714
3.0714 0.0000 3.0714
3.0714 3.0714 0.0000
Cu V W
1 1 2
Direct
0.5000 0.5000 0.5000 Cu
0.0000 0.0000 0.0000 V
0.7500 0.7500 0.7500 W
0.2500 0.2500 0.2500 W
```

The total magnetization is 0.000 μB per formula unit. The space group is Fm-3m, No. 225. The calculation puts the excess energy over the best structure of this formula in the dataset at 0 meV per atom. As for the formation energy: 0.3680 eV per atom.



No. 5
Material: V2Cu2W
Method: DFT, PBE-GGA
State: optimized geometry

Structure (POSCAR):
```
V2Cu2W
1.0
-5.0799 -4.9981 0.6916
3.8244 -3.1738 5.1541
-1.2105 1.4807 1.8100
V W Cu
4 2 4
Direct
0.3217 0.1783 0.5000 V
0.8217 0.3217 0.5000 V
0.6783 0.8217 0.5000 V
0.1783 0.6783 0.5000 V
0.0000 0.0000 0.0000 W
0.5000 0.5000 0.0000 W
0.1191 0.3809 0.0000 Cu
0.8809 0.6191 0.0000 Cu
0.6191 0.1191 0.0000 Cu
0.3809 0.8809 0.0000 Cu
```

The total magnetization is 0.000 μB per formula unit. The space group is P4/mbm, No. 127. The calculation puts the excess energy over the best structure of this formula in the dataset at 0 meV per atom. As for the formation energy: 0.3076 eV per atom.



No. 6
Material: V2Cu2W
Method: DFT, PBE-GGA
State: optimized geometry

Structure (POSCAR):
```
V2Cu2W
1.0
-1.4782 0.0260 3.1215
-3.0282 -0.8506 -1.4269
-0.9854 -6.0113 1.4943
V Cu W
2 2 1
Direct
0.2500 0.7500 0.5000 V
0.7500 0.2500 0.5000 V
0.4040 0.4040 0.1921 Cu
0.5960 0.5960 0.8079 Cu
0.0000 0.0000 0.0000 W
```

The total magnetization is 0.000 μB per formula unit. The space group is I4/mmm, No. 139. The calculation puts the excess energy over the best structure of this formula in the dataset at 249 meV per atom. As for the formation energy: 0.5566 eV per atom.



> Look up the total magnetization of the fourth one.

0.000 μB per formula unit



> Look up the total magnetization of the fifth one.

0.000 μB per formula unit



> What is the total magnetization in the fourth record?

0.000 μB per formula unit